Version 1
DFT (GGA-PBE) results for a geometry-optimized YPuTlRu structure.

As for the density of states at the Fermi level: 1.895 states/eV per atom.

Geometry as POSCAR:
```
YPuTlRu
1.0
3.353 0.000 0.000
0.000 3.353 0.000
0.000 0.000 8.400
Y Pu Tl Ru
1 1 1 1
Direct
0.000 0.000 0.000
0.000 0.000 0.590
0.500 0.500 0.294
0.500 0.500 0.790
```

Version 2
DFT (GGA-PBE) results for a geometry-optimized YPuTlRu structure.

As for the density of states at the Fermi level: 2.164 states/eV per atom.

Geometry as POSCAR:
```
YPuTlRu
1.0
0.000 3.606 3.606
3.606 0.000 3.606
3.606 3.606 0.000
Y Pu Tl Ru
1 1 1 1
Direct
0.000 0.000 0.000
0.500 0.500 0.500
0.250 0.250 0.250
0.750 0.750 0.750
```

Most stable to least stable, the ends of the list are version 1 and version 2.